Computed, not measured: a geometry-optimized Pm4SmHo6 structure at the GGA-PBE level of DFT.

Lattice parameters (Å, degrees): 9.7085 9.7085 9.7085 57.90 139.97 139.97
Fractional coordinates of all 11 atoms:
Pm: 0.0000 0.6352 0.0140
Pm: 0.3787 0.3648 0.3648
Pm: 0.0000 0.0140 0.6352
Pm: 0.6213 0.9860 0.9860
Sm: 0.0000 0.0000 0.0000
Ho: 0.0000 0.8038 0.4478
Ho: 0.0000 0.4478 0.8038
Ho: 0.3561 0.5522 0.5522
Ho: 0.5000 0.5000 0.0000
Ho: 0.6439 0.1962 0.1962
Ho: 0.5000 0.0000 0.5000

Results
Its calculated formation energy is 0.3061 eV/atom. The value obtained for the distance to the lowest polymorph of the same formula is 0.0000 eV/atom.